#i
Density functional theory data (PBE) for a relaxed NbZnP2O crystal.

Results
Total moment, μB/f.u.: 0.00
Symmetry: P4/mmm

a = 4.7040 Å, b = 4.7040 Å, c = 3.5594 Å
α = 90.00°, β = 90.00°, γ = 90.00°
Element x y z (fractional)
P (0.5000, 0.0000, 0.0000)
O (0.0000, 0.0000, 0.5000)
Nb (0.5000, 0.5000, 0.5000)
Zn (0.0000, 0.0000, 0.0000)
P (0.0000, 0.5000, 0.0000)

#ii
Density functional theory data (PBE) for a relaxed NbZnP2O crystal.

Results
Total moment, μB/f.u.: 0.00
Symmetry: P4/mmm

a = 4.9605 Å, b = 4.9605 Å, c = 3.8793 Å
α = 90.00°, β = 90.00°, γ = 90.00°
Element x y z (fractional)
O (0.0000, 0.0000, 0.5000)
Zn (0.5000, 0.5000, 0.5000)
P (0.0000, 0.5000, 0.0000)
P (0.5000, 0.0000, 0.0000)
Nb (0.0000, 0.0000, 0.0000)

Q: Which of them is the most stable? A: #ii.

#i
Density functional theory data (PBE) for a relaxed ZrNbP2O crystal.

Results
Total moment, μB/f.u.: 0.00
Symmetry: P4/mmm

a = 4.9172 Å, b = 4.9172 Å, c = 3.8008 Å
α = 90.00°, β = 90.00°, γ = 90.00°
Element x y z (fractional)
Zr (0.5000, 0.5000, 0.5000)
Nb (0.0000, 0.0000, 0.0000)
P (0.5000, 0.0000, 0.0000)
O (0.0000, 0.0000, 0.5000)
P (0.0000, 0.5000, 0.0000)

#ii
Density functional theory data (PBE) for a relaxed ZrNbP2O crystal.

Results
Total moment, μB/f.u.: 1.25
Symmetry: P4/mmm

a = 5.0530 Å, b = 5.0530 Å, c = 3.8992 Å
α = 90.00°, β = 90.00°, γ = 90.00°
Each line ends with the local moment (μB).
Element x y z (fractional)
O (0.0000, 0.0000, 0.5000)  -0.02
Zr (0.0000, 0.0000, 0.0000)  -0.03
Nb (0.5000, 0.5000, 0.5000)  1.50
P (0.0000, 0.5000, 0.0000)  -0.13
P (0.5000, 0.0000, 0.0000)  -0.13

Q: Which of them is the most stable? A: #i.

#i
Density functional theory data (PBE) for a relaxed NbPb2O crystal.

Results
Total moment, μB/f.u.: 0.99
Symmetry: Fm-3m

a = 4.9134 Å, b = 4.9134 Å, c = 4.9134 Å
α = 60.00°, β = 60.00°, γ = 60.00°
Each line ends with the local moment (μB).
Element x y z (fractional)
O (0.0000, 0.0000, 0.0000)  -0.02
Pb (0.7500, 0.7500, 0.7500)  -0.01
Nb (0.5000, 0.5000, 0.5000)  0.84
Pb (0.2500, 0.2500, 0.2500)  -0.01

#ii
Density functional theory data (PBE) for a relaxed NbPb2O crystal.

Results
Total moment, μB/f.u.: 0.00
Symmetry: I-42d

a = 6.9354 Å, b = 6.9354 Å, c = 6.0391 Å
α = 54.96°, β = 54.96°, γ = 90.00°
Element x y z (fractional)
O (0.2500, 0.7500, 0.5000)
Pb (0.1869, 0.6250, 0.2500)
Nb (0.7500, 0.2500, 0.5000)
Pb (0.8750, 0.8131, 0.7500)
Pb (0.3750, 0.4369, 0.7500)
Pb (0.5631, 0.1250, 0.2500)
O (0.5000, 0.5000, 0.0000)
Nb (0.0000, 0.0000, 0.0000)

Q: Which of them is the most stable? A: #ii.

#i
Density functional theory data (PBE) for a relaxed Nb4Pb3O13 crystal.

Results
Total moment, μB/f.u.: 0.00
Symmetry: R3m

a = 7.6597 Å, b = 7.6597 Å, c = 7.6597 Å
α = 59.40°, β = 59.40°, γ = 59.40°
Element x y z (fractional)
O (0.8002, 0.4386, 0.8002)
Nb (0.5026, 0.5026, 0.0056)
Nb (0.5026, 0.0056, 0.5026)
O (0.5515, 0.1825, 0.1825)
O (0.5578, 0.5578, 0.1857)
Pb (0.0175, 0.0175, 0.5038)
O (0.1857, 0.5578, 0.5578)
Pb (0.5038, 0.0175, 0.0175)
O (0.8119, 0.4267, 0.4267)
O (0.4267, 0.4267, 0.8119)
O (0.5578, 0.1857, 0.5578)
Nb (0.5041, 0.5041, 0.5041)
O (0.8002, 0.8002, 0.4386)
O (0.1825, 0.5515, 0.1825)
Nb (0.0056, 0.5026, 0.5026)
O (0.4386, 0.8002, 0.8002)
O (0.4267, 0.8119, 0.4267)
Pb (0.0175, 0.5038, 0.0175)
O (0.1825, 0.1825, 0.5515)
O (0.1492, 0.1492, 0.1492)

#ii
Density functional theory data (PBE) for a relaxed Nb4Pb3O13 crystal.

Results
Total moment, μB/f.u.: 0.00
Symmetry: Pmma

a = 7.5773 Å, b = 7.5939 Å, c = 10.7272 Å
α = 90.00°, β = 90.00°, γ = 90.00°
Element x y z (fractional)
O (0.1911, 0.4428, 0.8751)
O (0.1911, 0.0572, 0.8751)
O (0.6831, 0.9388, 0.3726)
Nb (0.0000, 0.5000, 0.0000)
Nb (0.5000, 0.0000, 0.5000)
O (0.5000, 0.7500, 0.1786)
Pb (0.2499, 0.2500, 0.2633)
O (0.5000, 0.7500, 0.5654)
Pb (0.5000, 0.5000, 0.0000)
O (0.8089, 0.5572, 0.1249)
O (0.6831, 0.4388, 0.6274)
Nb (0.5000, 0.5000, 0.5000)
O (0.8089, 0.4428, 0.8751)
Nb (0.2485, 0.7500, 0.2528)
O (0.3169, 0.0612, 0.6274)
O (0.3169, 0.9388, 0.3726)
O (0.5000, 0.2500, 0.4346)
Pb (0.7501, 0.7500, 0.7367)
O (0.3169, 0.5612, 0.3726)
O (0.0000, 0.2500, 0.0624)
Nb (0.0000, 0.0000, 0.0000)
O (0.0000, 0.2500, 0.6996)
O (0.0000, 0.7500, 0.9376)
O (0.0000, 0.7500, 0.3004)
Pb (0.7501, 0.2500, 0.2633)
O (0.6831, 0.0612, 0.6274)
O (0.3169, 0.4388, 0.6274)
O (0.6831, 0.5612, 0.3726)
Pb (0.2499, 0.7500, 0.7367)
O (0.5000, 0.2500, 0.1533)
O (0.1911, 0.5572, 0.1249)
Pb (0.5000, 0.0000, 0.0000)
Nb (0.7515, 0.7500, 0.2528)
O (0.5000, 0.7500, 0.8467)
Nb (0.7515, 0.2500, 0.7472)
O (0.1911, 0.9428, 0.1249)
O (0.5000, 0.2500, 0.8214)
Nb (0.2485, 0.2500, 0.7472)
O (0.8089, 0.0572, 0.8751)
O (0.8089, 0.9428, 0.1249)

Q: Which of them is the most stable? A: #ii.

#i
Density functional theory data (PBE) for a relaxed Nb2Pb2O7 crystal.

Results
Total moment, μB/f.u.: 0.00
Symmetry: C2/m

a = 6.2826 Å, b = 5.8252 Å, c = 6.2826 Å
α = 96.64°, β = 67.14°, γ = 83.36°
Element x y z (fractional)
Nb (0.2498, 0.1042, 0.7502)
Pb (0.6876, 0.5000, 0.6876)
O (0.9255, 0.7166, 0.3739)
O (0.3739, 0.2834, 0.9255)
Nb (0.7502, 0.8958, 0.2498)
O (0.0745, 0.2834, 0.6261)
O (0.5668, 0.1954, 0.4332)
O (0.4332, 0.8046, 0.5668)
O (0.0000, 0.0000, 0.0000)
O (0.6261, 0.7166, 0.0745)
Pb (0.3124, 0.5000, 0.3124)

#ii
Density functional theory data (PBE) for a relaxed Nb2Pb2O7 crystal.

Results
Total moment, μB/f.u.: 0.00
Symmetry: Fd-3m

a = 7.6821 Å, b = 7.6821 Å, c = 7.6821 Å
α = 60.00°, β = 60.00°, γ = 60.00°
Element x y z (fractional)
O (0.8143, 0.1857, 0.1857)
Nb (0.6250, 0.1250, 0.1250)
O (0.1857, 0.1857, 0.8143)
Pb (0.6250, 0.6250, 0.1250)
O (0.4357, 0.0643, 0.4357)
O (0.1857, 0.8143, 0.1857)
O (0.7500, 0.7500, 0.7500)
O (0.0643, 0.4357, 0.0643)
O (0.5000, 0.5000, 0.5000)
O (0.4357, 0.4357, 0.0643)
Pb (0.6250, 0.1250, 0.6250)
Nb (0.1250, 0.1250, 0.6250)
Nb (0.1250, 0.1250, 0.1250)
Pb (0.1250, 0.6250, 0.6250)
O (0.8143, 0.1857, 0.8143)
Nb (0.1250, 0.6250, 0.1250)
O (0.8143, 0.8143, 0.1857)
Pb (0.6250, 0.6250, 0.6250)
O (0.1857, 0.8143, 0.8143)
O (0.4357, 0.0643, 0.0643)
O (0.0643, 0.0643, 0.4357)
O (0.0643, 0.4357, 0.4357)

Q: Which of them is the most stable? A: #i.

#i
Density functional theory data (PBE) for a relaxed Nb3PbO crystal.

Results
Total moment, μB/f.u.: 0.00
Symmetry: Pm-3m

a = 4.3594 Å, b = 4.3594 Å, c = 4.3594 Å
α = 90.00°, β = 90.00°, γ = 90.00°
Element x y z (fractional)
Nb (0.0000, 0.0000, 0.5000)
Nb (0.0000, 0.5000, 0.0000)
Pb (0.5000, 0.5000, 0.5000)
O (0.0000, 0.0000, 0.0000)
Nb (0.5000, 0.0000, 0.0000)

#ii
Density functional theory data (PBE) for a relaxed Nb3PbO crystal.

Results
Total moment, μB/f.u.: 3.36
Symmetry: Pm-3m

a = 5.2161 Å, b = 5.2161 Å, c = 5.2161 Å
α = 90.00°, β = 90.00°, γ = 90.00°
Each line ends with the local moment (μB).
Element x y z (fractional)
Nb (0.0000, 0.0000, 0.5000)  0.75
Nb (0.0000, 0.5000, 0.0000)  0.69
O (0.5000, 0.5000, 0.5000)  0.73
Nb (0.5000, 0.0000, 0.0000)  0.61
Pb (0.0000, 0.0000, 0.0000)  0.04

Q: Which of them is the most stable? A: #i.

#i
Density functional theory data (PBE) for a relaxed NbZnPb2O6 crystal.

Results
Total moment, μB/f.u.: 1.01
Symmetry: R3m

a = 5.9015 Å, b = 5.9015 Å, c = 5.9015 Å
α = 58.66°, β = 58.66°, γ = 58.66°
Each line ends with the local moment (μB).
Element x y z (fractional)
Pb (0.2635, 0.2635, 0.2635)  0.03
O (0.7212, 0.2132, 0.7212)  0.05
Nb (0.4893, 0.4893, 0.4893)  -0.03
O (0.2132, 0.7212, 0.7212)  0.05
Zn (0.9892, 0.9892, 0.9892)  0.05
O (0.7212, 0.7212, 0.2132)  0.05
O (0.2332, 0.2332, 0.6974)  0.22
O (0.6974, 0.2332, 0.2332)  0.22
O (0.2332, 0.6974, 0.2332)  0.22
Pb (0.7597, 0.7597, 0.7597)  0.02

#ii
Density functional theory data (PBE) for a relaxed NbZnPb2O6 crystal.

Results
Total moment, μB/f.u.: 0.00
Symmetry: P2_1/c

a = 5.6889 Å, b = 5.7969 Å, c = 8.1095 Å
α = 90.00°, β = 89.90°, γ = 90.00°
Element x y z (fractional)
Nb (0.5000, 0.0000, 0.5000)
Pb (0.9932, 0.0384, 0.7491)
Nb (0.0000, 0.5000, 0.0000)
O (0.9143, 0.5256, 0.2427)
Pb (0.5068, 0.5384, 0.7509)
O (0.7118, 0.3028, 0.9589)
Pb (0.0068, 0.9616, 0.2509)
O (0.2118, 0.1972, 0.4589)
O (0.5857, 0.0256, 0.2573)
Pb (0.4932, 0.4616, 0.2491)
O (0.4143, 0.9744, 0.7427)
O (0.8057, 0.7864, 0.9548)
O (0.6943, 0.2864, 0.5452)
O (0.1943, 0.2136, 0.0452)
O (0.2882, 0.6972, 0.0411)
O (0.7882, 0.8028, 0.5411)
O (0.3057, 0.7136, 0.4548)
Zn (0.0000, 0.5000, 0.5000)
O (0.0857, 0.4744, 0.7573)
Zn (0.5000, 0.0000, 0.0000)

Q: Which of them is the most stable? A: #ii.

#i
Density functional theory data (PBE) for a relaxed NbPd3O crystal.

Results
Total moment, μB/f.u.: 0.00
Symmetry: Pm-3m

a = 4.8239 Å, b = 4.8239 Å, c = 4.8239 Å
α = 90.00°, β = 90.00°, γ = 90.00°
Element x y z (fractional)
O (0.5000, 0.5000, 0.5000)
Pd (0.0000, 0.5000, 0.0000)
Pd (0.5000, 0.0000, 0.0000)
Nb (0.0000, 0.0000, 0.0000)
Pd (0.0000, 0.0000, 0.5000)

#ii
Density functional theory data (PBE) for a relaxed NbPd3O crystal.

Results
Total moment, μB/f.u.: 0.00
Symmetry: Pm-3m

a = 4.2385 Å, b = 4.2385 Å, c = 4.2385 Å
α = 90.00°, β = 90.00°, γ = 90.00°
Element x y z (fractional)
O (0.0000, 0.0000, 0.0000)
Nb (0.5000, 0.5000, 0.5000)
Pd (0.0000, 0.5000, 0.0000)
Pd (0.5000, 0.0000, 0.0000)
Pd (0.0000, 0.0000, 0.5000)

Q: Which of them is the most stable? A: #ii.

#i
Density functional theory data (PBE) for a relaxed Pr3NbO7 crystal.

Results
Total moment, μB/f.u.: 0.00
Symmetry: C222_1

a = 6.7736 Å, b = 6.7736 Å, c = 7.7695 Å
α = 90.00°, β = 90.00°, γ = 108.59°
Element x y z (fractional)
O (0.9566, 0.7046, 0.4563)
O (0.7046, 0.9566, 0.5437)
Nb (0.9979, 0.9979, 0.5000)
O (0.6380, 0.3620, 0.2500)
Nb (0.0021, 0.0021, 0.0000)
O (0.9197, 0.6776, 0.0199)
Pr (0.9979, 0.5373, 0.7386)
Pr (0.4627, 0.0021, 0.7614)
Pr (0.4606, 0.4606, 0.5000)
O (0.3620, 0.6380, 0.7500)
O (0.9393, 0.0607, 0.2500)
O (0.3708, 0.6292, 0.2500)
Pr (0.5373, 0.9979, 0.2614)
O (0.6776, 0.9197, 0.9801)
O (0.0803, 0.3224, 0.5199)
Pr (0.5394, 0.5394, 0.0000)
O (0.2954, 0.0434, 0.0437)
O (0.0434, 0.2954, 0.9563)
O (0.0607, 0.9393, 0.7500)
O (0.3224, 0.0803, 0.4801)
O (0.6292, 0.3708, 0.7500)
Pr (0.0021, 0.4627, 0.2386)

#ii
Density functional theory data (PBE) for a relaxed Pr3NbO7 crystal.

Results
Total moment, μB/f.u.: 0.00
Symmetry: Cmcm

a = 6.7303 Å, b = 6.7303 Å, c = 7.7916 Å
α = 90.00°, β = 90.00°, γ = 111.23°
Element x y z (fractional)
Pr (0.4780, 0.9290, 0.7500)
Nb (0.5000, 0.5000, 0.0000)
Pr (0.5220, 0.0710, 0.2500)
O (0.8460, 0.1084, 0.7500)
O (0.8140, 0.5614, 0.4655)
O (0.5614, 0.8140, 0.0345)
O (0.4386, 0.1860, 0.9655)
Pr (0.0000, 0.0000, 0.5000)
O (0.5614, 0.8140, 0.4655)
Pr (0.9290, 0.4780, 0.7500)
Nb (0.5000, 0.5000, 0.5000)
O (0.4309, 0.4309, 0.2500)
O (0.1860, 0.4386, 0.9655)
O (0.1540, 0.8916, 0.2500)
O (0.1084, 0.8460, 0.7500)
Pr (0.0710, 0.5220, 0.2500)
O (0.4386, 0.1860, 0.5345)
Pr (0.0000, 0.0000, 0.0000)
O (0.5691, 0.5691, 0.7500)
O (0.8916, 0.1540, 0.2500)
O (0.1860, 0.4386, 0.5345)
O (0.8140, 0.5614, 0.0345)

Q: Which of them is the most stable? A: #i.

#i
Density functional theory data (PBE) for a relaxed NbPtO2 crystal.

Results
Total moment, μB/f.u.: 0.00
Symmetry: R-3m

a = 5.9729 Å, b = 5.9729 Å, c = 5.9729 Å
α = 33.37°, β = 33.37°, γ = 33.37°
Element x y z (fractional)
Nb (0.0000, 0.0000, 0.0000)
Pt (0.5000, 0.5000, 0.5000)
O (0.1179, 0.1179, 0.1179)
O (0.8821, 0.8821, 0.8821)

#ii
Density functional theory data (PBE) for a relaxed NbPtO2 crystal.

Results
Total moment, μB/f.u.: 0.19
Symmetry: I-42d

a = 4.0934 Å, b = 4.0934 Å, c = 6.9839 Å
α = 72.96°, β = 72.96°, γ = 90.00°
Each line ends with the local moment (μB).
Element x y z (fractional)
O (0.3750, 0.4329, 0.7500)  -0.01
Pt (0.7500, 0.2500, 0.5000)  -0.01
O (0.8750, 0.8171, 0.7500)  -0.01
Nb (0.2500, 0.7500, 0.5000)  0.18
O (0.1829, 0.6250, 0.2500)  -0.01
O (0.5671, 0.1250, 0.2500)  -0.01
Nb (0.5000, 0.5000, 0.0000)  0.18
Pt (0.0000, 0.0000, 0.0000)  -0.01

Q: Which of them is the most stable? A: #ii.